Run i
First-principles (PBE) data for crystalline NbPbCl2 at its relaxed geometry, as listed in the Alexandria database.

a b c (Å): 10.1297 10.1297 10.1297
angles (deg): 18.87 18.87 18.87
Closest atoms and distances in Å follow each position.
Sites, in units of the cell vectors:
1 Nb 0.0000 0.0000 0.0000  2 Cl 2.37
2 Pb 0.5000 0.5000 0.5000  6 Cl 3.23, 6 Pb 3.32
3 Cl 0.0794 0.0794 0.0794  1 Nb 2.37
4 Cl 0.9206 0.9206 0.9206  1 Nb 2.37

Calculated values
Mass density in g cm⁻³: 6.49

---

Run ii
First-principles (PBE) data for crystalline NbPbCl2 at its relaxed geometry, as listed in the Alexandria database.

a b c (Å): 7.3331 7.3331 7.3331
angles (deg): 126.62 126.62 78.87
Closest atoms and distances in Å follow each position.
Sites, in units of the cell vectors:
1 Nb 0.0000 0.0000 0.0000  4 Cl 2.39
2 Nb 0.7500 0.2500 0.5000  4 Cl 2.39
3 Pb 0.2500 0.7500 0.5000  4 Cl 3.16
4 Pb 0.5000 0.5000 0.0000  4 Cl 3.16
5 Cl 0.0268 0.6250 0.9018  2 Nb 2.39
6 Cl 0.3750 0.2768 0.4018  2 Nb 2.39
7 Cl 0.7232 0.1250 0.0982  2 Nb 2.39
8 Cl 0.8750 0.9732 0.5982  2 Nb 2.39

Calculated values
Mass density in g cm⁻³: 5.01

---

Short version: run i, run ii, most stable first.

---

Run i
First-principles (PBE) data for crystalline NbPbCl2 at its relaxed geometry, as listed in the Alexandria database.

a b c (Å): 12.1434 12.1434 12.1434
angles (deg): 15.34 15.34 15.34
Closest atoms and distances in Å follow each position.
Sites, in units of the cell vectors:
1 Nb 0.0000 0.0000 0.0000  6 Cl 2.57
2 Pb 0.5000 0.5000 0.5000  6 Pb 3.24
3 Cl 0.3821 0.3821 0.3821  3 Nb 2.57
4 Cl 0.6179 0.6179 0.6179  3 Nb 2.57

Calculated values
Mass density in g cm⁻³: 5.65

---

Run ii
First-principles (PBE) data for crystalline NbPbCl2 at its relaxed geometry, as listed in the Alexandria database.

a b c (Å): 4.9217 4.9217 4.9217
angles (deg): 60.00 60.00 60.00
Closest atoms and distances in Å follow each position.
Sites, in units of the cell vectors:
1 Nb 0.0000 0.0000 0.0000  8 Cl 3.01
2 Pb 0.5000 0.5000 0.5000  8 Cl 3.01
3 Cl 0.2500 0.2500 0.2500  4 Nb 3.01, 4 Pb 3.01
4 Cl 0.7500 0.7500 0.7500  4 Pb 3.01, 4 Nb 3.01

Calculated values
Mass density in g cm⁻³: 7.31

---

Short version: run i, run ii, most stable first.